Record 1
A plane-wave DFT calculation with GGA-PBEsol was carried out for a relaxed structure of CaNbCd2I.

abc: 5.5116 5.6186 5.6186
angles: 90.00 90.00 90.00
Each line ends with the local moment (μB).
Positions (direct):
1 I 0.0000 0.0000 0.0000  0.04
2 Nb 0.5000 0.5000 0.5000  2.77
3 Cd 0.0000 0.5000 0.0000  -0.01
4 Cd 0.0000 0.0000 0.5000  -0.01
5 Ca 0.5000 0.0000 0.0000  0.03

Record 2
A plane-wave DFT calculation with GGA-PBEsol was carried out for a relaxed structure of MgSc2Al.

polymorph energy (0 for the lowest one)	0.139	eV per atom
formation enthalpy at 0 K	-0.150	eV per atom

abc: 3.1518 3.1518 8.4655
angles: 90.00 90.00 90.00
Positions (direct):
1 Al 0.0000 0.0000 0.5005
2 Mg 0.5000 0.5000 0.7274
3 Sc 0.0000 0.0000 0.9995
4 Sc 0.5000 0.5000 0.2726

Record 3
A plane-wave DFT calculation with GGA-PBEsol was carried out for a relaxed structure of BaScP2.

polymorph energy (0 for the lowest one)	0.358	eV per atom
formation enthalpy at 0 K	-0.644	eV per atom

abc: 5.9283 5.9283 8.4386
angles: 110.56 110.56 90.00
Positions (direct):
1 Sc 0.5000 0.5000 0.0000
2 P 0.7580 0.3750 0.2500
3 P 0.1250 0.2420 0.7500
4 P 0.4920 0.8750 0.2500
5 Ba 0.2500 0.7500 0.5000
6 Ba 0.0000 0.0000 0.0000
7 P 0.6250 0.5080 0.7500
8 Sc 0.7500 0.2500 0.5000

Record 4
A plane-wave DFT calculation with GGA-PBEsol was carried out for a relaxed structure of SmOF.

abc: 3.8817 3.8817 3.8817
angles: 60.00 60.00 60.00
Positions (direct):
1 F 0.2500 0.2500 0.2500
2 O 0.7500 0.7500 0.7500
3 Sm 0.0000 0.0000 0.0000

Record 5
A plane-wave DFT calculation with GGA-PBEsol was carried out for a relaxed structure of ZnHg2Br.

polymorph energy (0 for the lowest one)	0.037	eV per atom

abc: 3.5209 3.5209 8.5734
angles: 90.00 90.00 115.35
Positions (direct):
1 Hg 0.0000 0.0000 0.9838
2 Hg 0.5000 0.5000 0.7181
3 Zn 0.0000 0.0000 0.4984
4 Br 0.5000 0.5000 0.2997

Record 6
A plane-wave DFT calculation with GGA-PBEsol was carried out for a relaxed structure of LiCa2Br.

polymorph energy (0 for the lowest one)	0.051	eV per atom

abc: 3.8635 6.3505 6.5595
angles: 118.95 107.13 90.00
Positions (direct):
1 Ca 0.7075 0.7075 0.4149
2 Ca 0.2925 0.2925 0.5851
3 Li 0.5000 0.0000 0.0000
4 Br 0.0000 0.5000 0.0000

Number 1: final energy -2.202 eV/atom. Number 2: final energy -4.905 eV/atom. Number 3: final energy -5.728 eV/atom. Number 4: final energy -7.909 eV/atom. Number 5: final energy -1.235 eV/atom. Number 6: final energy -2.575 eV/atom.